Record 1
Below is a geometry-optimized TaTi5Sn2 structure, with properties calculated at the PBE level.

abc: 4.8652 4.8652 7.0470
angles: 110.19 110.19 90.00
With the nearest neighbours (Å) after each atom.
Sites, in units of the cell vectors:
Ta: 0.0000 0.0000 0.0000  8 Ti 2.83, 2 Sn 3.08
Ti: 0.5000 0.5000 0.0000  8 Ti 2.83, 2 Sn 3.07
Ti: 0.6173 0.1173 0.2347  2 Ta 2.83, 3 Ti 2.83-2.89, 4 Sn 2.92-2.93
Ti: 0.1173 0.6173 0.2347  3 Ti 2.83-2.89, 2 Ta 2.83, 4 Sn 2.92-2.93
Ti: 0.3827 0.8827 0.7653  2 Ta 2.83, 3 Ti 2.83-2.89, 4 Sn 2.92-2.93
Ti: 0.8827 0.3827 0.7653  3 Ti 2.83-2.89, 2 Ta 2.83, 4 Sn 2.92-2.93
Sn: 0.2507 0.2507 0.5013  9 Ti 2.92-3.07, 1 Ta 3.08
Sn: 0.7493 0.7493 0.4987  9 Ti 2.92-3.07, 1 Ta 3.08

Properties
ΔH_f (0 K): -0.23 eV per atom

Record 2
Below is a geometry-optimized TaTi2Sn structure, with properties calculated at the PBE level.

abc: 7.5104 7.5104 6.0064
angles: 51.30 51.30 90.00
With the nearest neighbours (Å) after each atom.
Sites, in units of the cell vectors:
Ti: 0.6367 0.1250 0.2500  2 Ta 2.69, 2 Sn 2.81, 2 Ti 2.81
Ti: 0.1133 0.6250 0.2500  2 Ta 2.69, 2 Sn 2.81, 2 Ti 2.81
Ti: 0.3750 0.3633 0.7500  2 Ta 2.69, 2 Sn 2.81, 2 Ti 2.81
Ti: 0.8750 0.8867 0.7500  2 Ta 2.69, 2 Sn 2.81, 2 Ti 2.81
Sn: 0.5000 0.5000 0.0000  2 Ta 2.81, 4 Ti 2.81
Sn: 0.2500 0.7500 0.5000  2 Ta 2.81, 4 Ti 2.81
Ta: 0.0000 0.0000 0.0000  4 Ti 2.69, 2 Sn 2.81
Ta: 0.7500 0.2500 0.5000  4 Ti 2.69, 2 Sn 2.81

Properties
ΔH_f (0 K): 0.45 eV per atom

Record 3
Below is a geometry-optimized TaTiSn structure, with properties calculated at the PBE level.

abc: 2.8588 4.5850 9.7808
angles: 90.00 98.40 90.00
With the nearest neighbours (Å) after each atom.
Sites, in units of the cell vectors:
Ta: 0.2189 0.7500 0.9379  2 Ti 2.84, 6 Ta 2.86-2.96, 2 Sn 3.12
Ta: 0.7811 0.2500 0.0621  2 Ti 2.84, 6 Ta 2.86-2.96, 2 Sn 3.12
Ti: 0.8679 0.7500 0.2357  2 Ta 2.84, 2 Ti 2.86, 4 Sn 2.91
Ti: 0.1321 0.2500 0.7643  2 Ta 2.84, 2 Ti 2.86, 4 Sn 2.91
Sn: 0.4242 0.2500 0.3483  2 Sn 2.86, 4 Ti 2.91, 2 Ta 3.12
Sn: 0.5758 0.7500 0.6517  2 Sn 2.86, 4 Ti 2.91, 2 Ta 3.12

Properties
energy relative to the lowest polymorph listed for this composition: 333 meV per atom
ΔH_f (0 K): 0.14 eV per atom

Record 4
Below is a geometry-optimized TaTiSn structure, with properties calculated at the PBE level.

abc: 4.0013 4.0013 7.9032
angles: 104.66 104.66 90.00
With the nearest neighbours (Å) after each atom.
Sites, in units of the cell vectors:
Ti: 0.1603 0.1603 0.3205  5 Sn 2.82-2.83, 4 Ta 3.10
Ti: 0.8397 0.8397 0.6795  5 Sn 2.82-2.83, 4 Ta 3.10
Ta: 0.0000 0.5000 0.0000  4 Ta 2.83, 4 Sn 2.97, 4 Ti 3.10
Ta: 0.5000 0.0000 0.0000  4 Ta 2.83, 4 Sn 2.97, 4 Ti 3.10
Sn: 0.6486 0.6486 0.2972  5 Ti 2.82-2.83, 4 Ta 2.97
Sn: 0.3514 0.3514 0.7028  5 Ti 2.82-2.83, 4 Ta 2.97

Properties
energy relative to the lowest polymorph listed for this composition: 0 meV per atom
ΔH_f (0 K): -0.19 eV per atom

Record 5
Below is a geometry-optimized TaTiSn2 structure, with properties calculated at the PBE level.

abc: 4.8188 4.8188 4.8188
angles: 60.00 60.00 60.00
With the nearest neighbours (Å) after each atom.
Sites, in units of the cell vectors:
Ti: 0.0000 0.0000 0.0000  8 Sn 2.95
Sn: 0.2500 0.2500 0.2500  4 Ta 2.95, 4 Ti 2.95
Sn: 0.7500 0.7500 0.7500  4 Ta 2.95, 4 Ti 2.95
Ta: 0.5000 0.5000 0.5000  8 Sn 2.95

Properties
energy relative to the lowest polymorph listed for this composition: 65 meV per atom
ΔH_f (0 K): 0.15 eV per atom

Record 6
Below is a geometry-optimized TaTi2Sn2 structure, with properties calculated at the PBE level.

abc: 7.3483 7.3483 3.5851
angles: 90.00 90.00 90.00
With the nearest neighbours (Å) after each atom.
Sites, in units of the cell vectors:
Ti: 0.1652 0.6652 0.5000  6 Sn 2.72-2.87
Ti: 0.6652 0.8348 0.5000  6 Sn 2.72-2.87
Ti: 0.8348 0.3348 0.5000  6 Sn 2.72-2.87
Ti: 0.3348 0.1652 0.5000  6 Sn 2.72-2.87
Sn: 0.3621 0.8621 0.0000  6 Ti 2.72-2.87, 2 Ta 2.85, 1 Sn 2.87
Sn: 0.8621 0.6379 0.0000  6 Ti 2.72-2.87, 2 Ta 2.85, 1 Sn 2.87
Sn: 0.6379 0.1379 0.0000  6 Ti 2.72-2.87, 2 Ta 2.85, 1 Sn 2.87
Sn: 0.1379 0.3621 0.0000  6 Ti 2.72-2.87, 2 Ta 2.85, 1 Sn 2.87
Ta: 0.0000 0.0000 0.0000  4 Sn 2.85
Ta: 0.5000 0.5000 0.0000  4 Sn 2.85

Properties
energy relative to the lowest polymorph listed for this composition: 55 meV per atom
ΔH_f (0 K): -0.12 eV per atom

Record 7
Below is a geometry-optimized Ta2Ti7Sn2 structure, with properties calculated at the PBE level.

abc: 7.4198 5.4087 5.4087
angles: 98.03 79.45 79.45
With the nearest neighbours (Å) after each atom.
Sites, in units of the cell vectors:
Ta: 0.8473 0.3913 0.3913  8 Ti 2.69-2.93, 2 Sn 2.94
Ta: 0.1527 0.6087 0.6087  8 Ti 2.69-2.93, 2 Sn 2.94
Ti: 0.1796 0.0913 0.4592  3 Ta 2.76-2.87, 1 Sn 2.80, 3 Ti 2.99-3.05
Ti: 0.8204 0.5408 0.9087  3 Ta 2.76-2.87, 1 Sn 2.80, 3 Ti 2.99-3.05
Ti: 0.8204 0.9087 0.5408  3 Ta 2.76-2.87, 1 Sn 2.80, 3 Ti 2.99-3.05
Ti: 0.1796 0.4592 0.0913  3 Ta 2.76-2.87, 1 Sn 2.80, 3 Ti 2.99-3.05
Ti: 0.0000 0.0000 0.0000  2 Ta 2.69, 2 Ti 2.88
Ti: 0.4038 0.8625 0.8625  2 Ti 2.72-2.88, 4 Sn 2.84-2.94, 1 Ta 2.93
Ti: 0.5962 0.1375 0.1375  2 Ti 2.72-2.88, 4 Sn 2.84-2.94, 1 Ta 2.93
Sn: 0.5000 0.3055 0.6945  6 Ti 2.80-2.94, 2 Ta 2.94
Sn: 0.5000 0.6945 0.3055  6 Ti 2.80-2.94, 2 Ta 2.94

Properties
ΔH_f (0 K): -0.07 eV per atom

Record 8
Below is a geometry-optimized TaTi2Sn structure, with properties calculated at the PBE level.

abc: 4.6938 5.4328 5.7498
angles: 83.76 90.00 90.00
With the nearest neighbours (Å) after each atom.
Sites, in units of the cell vectors:
Ta: 0.7500 0.3553 0.4539  5 Ti 2.85-2.99, 4 Sn 2.87-3.13, 2 Ta 2.91
Ta: 0.2500 0.6447 0.5461  5 Ti 2.85-2.99, 4 Sn 2.87-3.13, 2 Ta 2.91
Ti: 0.7500 0.3684 0.9547  5 Ti 2.82-3.14, 2 Ta 2.86-2.89, 3 Sn 2.90-3.06
Ti: 0.2500 0.6316 0.0453  5 Ti 2.82-3.14, 2 Ta 2.86-2.89, 3 Sn 2.90-3.06
Ti: 0.7500 0.8547 0.7256  3 Ti 2.82-3.14, 4 Sn 2.84-2.91, 3 Ta 2.85-2.99
Ti: 0.2500 0.1453 0.2744  3 Ti 2.82-3.14, 4 Sn 2.84-2.91, 3 Ta 2.85-2.99
Sn: 0.7500 0.8536 0.2317  7 Ti 2.84-3.06, 4 Ta 2.87-3.13
Sn: 0.2500 0.1464 0.7683  7 Ti 2.84-3.06, 4 Ta 2.87-3.13

Properties
ΔH_f (0 K): -0.21 eV per atom

Record 9
Below is a geometry-optimized TaTiSn structure, with properties calculated at the PBE level.

abc: 2.9989 5.8921 6.9325
angles: 99.96 76.23 89.95
With the nearest neighbours (Å) after each atom.
Sites, in units of the cell vectors:
Ta: 0.8654 0.9975 0.2606  3 Ta 2.73-3.00, 4 Ti 2.79-3.03, 2 Sn 2.96-2.97
Ta: 0.9762 0.3477 0.5561  3 Ta 2.73-3.00, 4 Ti 2.79-3.03, 2 Sn 2.96-2.97
Ti: 0.6549 0.4983 0.2510  4 Ta 2.79-3.03, 3 Ti 2.82-3.00, 2 Sn 2.97-3.01
Ti: 0.1870 0.8469 0.5657  4 Ta 2.79-3.03, 3 Ti 2.82-3.00, 2 Sn 2.97-3.01
Sn: 0.4188 0.1734 0.9083  4 Sn 2.95-3.00, 2 Ta 2.96, 4 Ti 3.01-3.23
Sn: 0.4226 0.6734 0.9084  4 Sn 2.95-3.00, 4 Ti 2.97-3.20, 2 Ta 2.97

Properties
energy relative to the lowest polymorph listed for this composition: 193 meV per atom
ΔH_f (0 K): 0.00 eV per atom

Record 10
Below is a geometry-optimized Ta3TiSn structure, with properties calculated at the PBE level.

abc: 4.9840 4.9840 4.9840
angles: 90.00 90.00 90.00
With the nearest neighbours (Å) after each atom.
Sites, in units of the cell vectors:
Ti: 0.5000 0.5000 0.5000  12 Ta 3.52
Sn: 0.0000 0.0000 0.0000  6 Ta 2.49
Ta: 0.0000 0.5000 0.0000  2 Sn 2.49
Ta: 0.0000 0.0000 0.5000  2 Sn 2.49
Ta: 0.5000 0.0000 0.0000  2 Sn 2.49

Properties
energy relative to the lowest polymorph listed for this composition: 679 meV per atom
ΔH_f (0 K): 1.90 eV per atom

Record 11
Below is a geometry-optimized TaTiSn4 structure, with properties calculated at the PBE level.

abc: 6.9304 6.9304 7.5198
angles: 117.44 117.44 90.00
With the nearest neighbours (Å) after each atom.
Sites, in units of the cell vectors:
Ta: 0.2500 0.2500 0.5000  2 Ti 2.85, 8 Sn 2.94
Ta: 0.7500 0.7500 0.5000  2 Ti 2.85, 8 Sn 2.94
Ti: 0.5000 0.5000 0.0000  2 Ta 2.85, 8 Sn 3.01
Ti: 0.0000 0.0000 0.0000  2 Ta 2.85, 8 Sn 3.01
Sn: 0.4735 0.9735 0.2633  2 Ta 2.94, 3 Sn 3.00-3.25, 2 Ti 3.01
Sn: 0.9735 0.7897 0.2633  2 Ta 2.94, 3 Sn 3.00-3.25, 2 Ti 3.01
Sn: 0.2897 0.4735 0.2633  2 Ta 2.94, 3 Sn 3.00-3.25, 2 Ti 3.01
Sn: 0.7103 0.5265 0.7367  2 Ta 2.94, 3 Sn 3.00-3.25, 2 Ti 3.01
Sn: 0.0265 0.2103 0.7367  2 Ta 2.94, 3 Sn 3.00-3.25, 2 Ti 3.01
Sn: 0.5265 0.0265 0.7367  2 Ta 2.94, 3 Sn 3.00-3.25, 2 Ti 3.01
Sn: 0.2103 0.7103 0.7367  2 Ta 2.94, 3 Sn 3.00-3.25, 2 Ti 3.01
Sn: 0.7897 0.2897 0.2633  2 Ta 2.94, 3 Sn 3.00-3.25, 2 Ti 3.01

Properties
ΔH_f (0 K): -0.09 eV per atom

Record 12
Below is a geometry-optimized Ta2Ti2Sn structure, with properties calculated at the PBE level.

abc: 4.6746 5.9073 7.3874
angles: 105.64 108.44 90.00
With the nearest neighbours (Å) after each atom.
Sites, in units of the cell vectors:
Ta: 0.2075 0.5458 0.4150  3 Ti 2.74-2.88, 4 Ta 2.75-2.95, 1 Sn 2.94
Ta: 0.7925 0.9542 0.5850  3 Ti 2.74-2.88, 4 Ta 2.75-2.95, 1 Sn 2.94
Ta: 0.7925 0.4542 0.5850  3 Ti 2.74-2.88, 4 Ta 2.75-2.95, 1 Sn 2.94
Ta: 0.2075 0.0458 0.4150  3 Ti 2.74-2.88, 4 Ta 2.75-2.95, 1 Sn 2.94
Ti: 0.3939 0.8579 0.7879  3 Ta 2.74-2.88, 2 Sn 2.94, 3 Ti 2.95-2.97
Ti: 0.3940 0.3579 0.7879  3 Ta 2.74-2.88, 2 Sn 2.94, 3 Ti 2.95-2.97
Ti: 0.6061 0.1421 0.2121  3 Ta 2.74-2.88, 2 Sn 2.94, 3 Ti 2.95-2.97
Ti: 0.6060 0.6421 0.2121  3 Ta 2.74-2.88, 2 Sn 2.94, 3 Ti 2.95-2.97
Sn: 0.0001 0.2500 0.0000  4 Ti 2.94, 2 Ta 2.94, 2 Sn 2.95
Sn: 0.9999 0.7500 0.0000  4 Ti 2.94, 2 Ta 2.94, 2 Sn 2.95

Properties
ΔH_f (0 K): -0.07 eV per atom

no.,ρ (Mg/m³)
1,7.5
2,8.3
3,9.1
4,9.8
5,9.8
6,8.8
7,7.5
8,9.0
9,9.9
10,9.5
11,8.5
12,10.3